w) Density functional theory data (PBE) for crystalline PmTeRh2 at its relaxed geometry.

a b c (Å): 3.865 4.525 4.525
angles (deg): 90.00 90.00 90.00
Element x y z (fractional)
Te1 0.500 0.000 0.000
Rh1 0.000 0.000 0.500
Rh2 0.000 0.500 0.000
Pm1 0.500 0.500 0.500

**Mass density**: 10.04 g/cm³
**Magnetization**: 0.00 μB/atom


x) Density functional theory data (PBE) for crystalline PmTeRh2 at its relaxed geometry.

a b c (Å): 4.814 4.814 4.814
angles (deg): 60.00 60.00 60.00
Element x y z (fractional)
Te1 0.500 0.500 0.500
Rh1 0.250 0.250 0.250
Rh2 0.750 0.750 0.750
Pm1 0.000 0.000 0.000

**Mass density**: 10.07 g/cm³
**Magnetization**: 0.00 μB/atom


y) Density functional theory data (PBE) for crystalline PmTeRh2 at its relaxed geometry.

a b c (Å): 4.510 4.510 5.436
angles (deg): 65.49 65.49 60.00
Element x y z (fractional)
Te1 0.500 0.500 0.500
Rh1 0.790 0.790 0.630
Rh2 0.210 0.210 0.370
Pm1 0.000 0.000 0.000

**Mass density**: 9.45 g/cm³
**Magnetization**: 0.00 μB/atom


Stability summary - winner: y); margin: 75 meV/atom.


w) Density functional theory data (PBE) for crystalline PmTh2Rh at its relaxed geometry.

a b c (Å): 3.916 3.916 9.503
angles (deg): 78.11 78.11 60.00
Element x y z (fractional)
Pm1 0.499 0.499 0.503
Th1 0.063 0.063 0.811
Th2 0.271 0.271 0.187
Rh1 0.667 0.667 0.000

**Mass density**: 9.65 g/cm³
**Magnetization**: 0.00 μB/atom


x) Density functional theory data (PBE) for crystalline PmTh2Rh at its relaxed geometry.

a b c (Å): 3.788 3.788 10.555
angles (deg): 79.66 79.66 60.00
Element x y z (fractional)
Rh1 0.500 0.500 0.500
Th1 0.109 0.109 0.673
Th2 0.891 0.891 0.327
Pm1 0.000 0.000 0.000

**Mass density**: 9.21 g/cm³
**Magnetization**: 0.00 μB/atom


Stability summary - winner: w); margin: 229 meV/atom.


w) Density functional theory data (PBE) for crystalline PmTh2Rh at its relaxed geometry.

a b c (Å): 6.348 7.219 10.027
angles (deg): 90.00 90.00 90.00
Element x y z (fractional)
Pm1 0.651 0.539 0.250
Pm2 0.849 0.039 0.250
Pm3 0.349 0.461 0.750
Pm4 0.151 0.961 0.750
Th1 0.156 0.680 0.060
Th2 0.344 0.180 0.440
Th3 0.844 0.320 0.560
Th4 0.656 0.820 0.940
Th5 0.844 0.320 0.940
Th6 0.656 0.820 0.560
Th7 0.156 0.680 0.440
Th8 0.344 0.180 0.060
Rh1 0.123 0.392 0.250
Rh2 0.377 0.892 0.250
Rh3 0.877 0.608 0.750
Rh4 0.623 0.108 0.750

**Mass density**: 10.29 g/cm³
**Magnetization**: 0.00 μB/atom


x) Density functional theory data (PBE) for crystalline PmTh2Rh at its relaxed geometry.

a b c (Å): 3.825 6.287 9.989
angles (deg): 90.00 90.00 107.64
Element x y z (fractional)
Pm1 0.918 0.835 0.250
Pm2 0.082 0.165 0.750
Th1 0.362 0.724 0.559
Th2 0.638 0.276 0.441
Th3 0.362 0.724 0.941
Th4 0.638 0.276 0.059
Rh1 0.795 0.590 0.750
Rh2 0.205 0.410 0.250

**Mass density**: 10.33 g/cm³
**Magnetization**: 0.00 μB/atom


y) Density functional theory data (PBE) for crystalline PmTh2Rh at its relaxed geometry.

a b c (Å): 3.673 3.673 8.278
angles (deg): 90.00 90.00 90.00
Element x y z (fractional)
Rh1 0.500 0.500 0.000
Th1 0.000 0.000 0.801
Th2 0.000 0.000 0.199
Pm1 0.500 0.500 0.500

**Mass density**: 10.59 g/cm³
**Magnetization**: 0.00 μB/atom


Stability summary - winner: x); margin: 6 meV/atom.